SmEr5Mg6 after structural relaxation. Source: Alexandria, functional GGA-PBE.

Values from the calculation:
E in eV/atom: -3.164

Geometry as CIF:
```
data_SmEr5Mg6
_space_group_name_H-M_alt 'C m m m'
_space_group_IT_number 65
_space_group_name_Hall '-C 2 2'
_cell_length_a 5.351
_cell_length_b 16.066
_cell_length_c 7.526
_cell_angle_alpha 90.00
_cell_angle_beta 90.00
_cell_angle_gamma 90.00
loop_
_atom_site_label
_atom_site_fract_x
_atom_site_fract_y
_atom_site_fract_z
Sm1 0.000 0.000 0.000
Er1 0.000 0.000 0.500
Er2 0.000 0.332 0.000
Er3 0.000 0.334 0.500
Mg1 0.000 0.168 0.252
Mg2 0.000 0.500 0.252
```



Sm8Er5Mg after structural relaxation. Source: Alexandria, functional GGA-PBE.

Values from the calculation:
E in eV/atom: -4.202

Geometry as CIF:
```
data_Sm8Er5Mg
_space_group_name_H-M_alt 'I -4'
_space_group_IT_number 82
_cell_length_a 9.675
_cell_length_b 9.675
_cell_length_c 10.055
_cell_angle_alpha 90.00
_cell_angle_beta 90.00
_cell_angle_gamma 90.00
loop_
_space_group_symop_operation_xyz
'x,y,z'
'y,-x,-z'
'-x,-y,z'
'-y,x,-z'
'x+1/2,y+1/2,z+1/2'
'y+1/2,-x+1/2,-z+1/2'
'-x+1/2,-y+1/2,z+1/2'
'-y+1/2,x+1/2,-z+1/2'
loop_
_atom_site_label
_atom_site_fract_x
_atom_site_fract_y
_atom_site_fract_z
Sm1 0.066 0.170 0.339
Sm2 0.093 0.318 0.003
Er1 0.000 0.500 0.250
Er2 0.104 0.298 0.671
Mg1 0.000 0.000 0.000
```



Sm5ErMg4 after structural relaxation. Source: Alexandria, functional GGA-PBE.

Values from the calculation:
E in eV/atom: -3.522

Geometry as CIF:
```
data_Sm5ErMg4
_space_group_name_H-M_alt 'P 4/m m m'
_space_group_IT_number 123
_space_group_name_Hall '-P 4 2'
_cell_length_a 3.794
_cell_length_b 3.794
_cell_length_c 20.349
_cell_angle_alpha 90.00
_cell_angle_beta 90.00
_cell_angle_gamma 90.00
loop_
_atom_site_label
_atom_site_fract_x
_atom_site_fract_y
_atom_site_fract_z
Sm1 0.000 0.000 0.000
Sm2 0.000 0.000 0.192
Sm3 0.000 0.000 0.385
Er1 0.500 0.500 0.500
Mg1 0.500 0.500 0.096
Mg2 0.500 0.500 0.288
```



Sm8Er2Mg after structural relaxation. Source: Alexandria, functional GGA-PBE.

Values from the calculation:
Relative energy among the computed polymorphs in eV/f.u.: 2.618

Geometry as CIF:
```
data_Sm8Er2Mg
_space_group_name_H-M_alt 'C 1 2/m 1'
_space_group_IT_number 12
_cell_length_a 11.930
_cell_length_b 11.336
_cell_length_c 5.969
_cell_angle_alpha 90.00
_cell_angle_beta 104.03
_cell_angle_gamma 90.00
loop_
_space_group_symop_operation_xyz
'x,y,z'
'-x,-y,-z'
'-x,y,-z'
'x,-y,z'
'x+1/2,y+1/2,z'
'-x+1/2,-y+1/2,-z'
'-x+1/2,y+1/2,-z'
'x+1/2,-y+1/2,z'
loop_
_atom_site_label
_atom_site_fract_x
_atom_site_fract_y
_atom_site_fract_z
Sm1 0.080 0.000 0.290
Sm2 0.103 0.261 0.787
Sm3 0.229 0.000 0.905
Er1 0.134 0.500 0.493
Mg1 0.000 0.500 0.000
```